The following is a DFT calculation (GGA-PBE) of a relaxed K3RbTl4Cl8 crystal.

abc: 9.169 9.169 9.169
angles: 60.00 60.00 60.00
Sites, in units of the cell vectors:
K 0.000 0.500 0.500
K 0.500 0.000 0.500
K 0.500 0.500 0.000
Rb 0.000 0.000 0.000
Tl 0.000 0.000 0.500
Tl 0.000 0.500 0.000
Tl 0.500 0.000 0.000
Tl 0.500 0.500 0.500
Cl 0.253 0.253 0.253
Cl 0.253 0.253 0.740
Cl 0.253 0.740 0.253
Cl 0.260 0.747 0.747
Cl 0.740 0.253 0.253
Cl 0.747 0.260 0.747
Cl 0.747 0.747 0.260
Cl 0.747 0.747 0.747

Calculated values
Uncorrected formation energy (eV/f.u.): -23.75
Spin magnetization (μB/atom): 0.000
Crystal system: trigonal
Total energy (eV per atom): -3.27